The following is a DFT calculation (GGA-PBE) of AlRe2B after structural relaxation.

The space group is R-3m (No. 166, hexagonal axes) and the conventional cell measures 2.9742, 2.9742 and 22.5778 Å, with angles of 90.00, 90.00 and 120.00 degrees. The distinct sites, in fractional coordinates, are Al at (0.0000, 0.0000, 0.0000), Re at (0.0000, 0.0000, 0.1099) and B at (0.0000, 0.0000, 0.5000).

The value obtained for the energy above the most stable polymorph in this dataset is 0 meV/atom. Its theoretical density is 11.81 g cm⁻³. The calculation puts the density of states at the Fermi level at 0.484 states/eV per atom. The magnetic moment comes out at 0.000 μB/f.u. Its total energy is -103.07 eV/cell.